Computed, not measured: a relaxed structure of TiVGaO6 at the PBE+U level of DFT.

Cell lengths 4.615, 4.615, 8.807 Å; angles 90.00, 90.00, 90.00 degrees
Positions (direct):
Ti1 0.500 0.500 0.505
Ti2 0.000 0.000 0.005
V1 0.500 0.500 0.170
V2 0.000 0.000 0.670
Ga1 0.500 0.500 0.835
Ga2 0.000 0.000 0.335
O1 0.194 0.806 0.506
O2 0.806 0.194 0.506
O3 0.306 0.306 0.006
O4 0.694 0.694 0.006
O5 0.202 0.798 0.163
O6 0.798 0.202 0.163
O7 0.298 0.298 0.663
O8 0.702 0.702 0.663
O9 0.809 0.191 0.825
O10 0.191 0.809 0.825
O11 0.691 0.691 0.325
O12 0.309 0.309 0.325

Results
E   -67.56 eV/f.u.
Space group   P4_2nm (102)
Crystal system   tetragonal